[1]
Here is B7C5 after structural relaxation from Alexandria. Energies are from PBE.

Cell and atoms, written as POSCAR:
```
B7C5
1.0
-1.5997 -1.1240 1.6770
-2.6557 -1.7681 -3.7184
4.2169 -5.2273 0.5191
B C
7 5
direct
0.5000 0.4404 0.0278
0.0000 0.4484 0.3804
0.5000 0.8129 0.3376
0.0000 0.9242 0.1845
0.0000 0.6450 0.8924
0.0000 0.7108 0.6327
0.0000 0.3664 0.6435
0.5000 0.4737 0.2637
0.0000 0.9896 0.9684
0.5000 0.8859 0.5753
0.5000 0.1659 0.6842
0.5000 0.1368 0.9095
```

Values from the calculation:
Offset from the most stable computed form: 2.44 eV per formula unit
Total energy: -7.370 eV/atom
Spin magnetization: 0.00 μB/f.u.
Space-group type: Pm (6)

[2]
Here is BC after structural relaxation from Alexandria. Energies are from PBE.

Cell and atoms, written as POSCAR:
```
BC
1.0
6.5746 0.2156 -1.1016
5.9788 2.7432 -1.1016
0.0754 0.0178 4.8881
B C
6 6
direct
0.0204 0.0204 0.0540
0.8973 0.8973 0.1273
0.9277 0.9277 0.7423
0.2358 0.2358 0.3117
0.3352 0.3352 0.7755
0.0132 0.0132 0.4963
0.6683 0.6683 0.3327
0.3237 0.3237 0.1269
0.6602 0.6602 0.8283
0.5951 0.5951 0.0584
0.5958 0.5958 0.5417
0.2273 0.2273 0.8547
```

Values from the calculation:
Offset from the most stable computed form: 0.46 eV per formula unit
Total energy: -7.569 eV/atom
Spin magnetization: 0.00 μB/f.u.
Space-group type: Cm (8)

[3]
Here is BC after structural relaxation from Alexandria. Energies are from PBE.

Cell and atoms, written as POSCAR:
```
BC
1.0
2.6422 0.0000 0.0000
0.0000 4.8235 -0.7292
0.0000 -0.9797 6.1567
C B
6 6
direct
0.5000 0.8400 0.5635
0.0000 0.6480 0.8906
0.0000 0.9776 0.0010
0.5000 0.1600 0.6865
0.0000 0.0224 0.2490
0.0000 0.3520 0.3594
0.5000 0.1573 0.9447
0.0000 0.3273 0.6412
0.5000 0.8427 0.3053
0.5000 0.4526 0.2463
0.5000 0.5474 0.0037
0.0000 0.6727 0.6088
```

Values from the calculation:
Offset from the most stable computed form: 0.39 eV per formula unit
Total energy: -7.603 eV/atom
Spin magnetization: 0.00 μB/f.u.
Space-group type: P2/m (10)